A relaxed structure of PmNd2SmY6, computed with GGA-PBE.

Cell: 9.1357 15.0665 9.9169 Å, 90.00 100.34 90.00°
Space group C2/c (No. 15)
One atom of each set of equivalent atoms:
Pm (0.0000, 0.0952, 0.2500) [4 per cell]
Nd (0.2386, 0.4513, 0.0437) [8 per cell]
Sm (0.0000, 0.4830, 0.7500) [4 per cell]
Y (0.0697, 0.3107, 0.4433) [8 per cell]
Y (0.0979, 0.1040, 0.6187) [8 per cell]
Y (0.2001, 0.2766, 0.8157) [8 per cell]

As for the formation energy: 0.11 eV/atom. The value obtained for the density of states at the Fermi level is 63.1 states/eV per cell.

=====

A relaxed structure of PmNd6Sm2Y, computed with GGA-PBE.

Cell: 9.2619 15.4632 9.8617 Å, 90.00 98.22 90.00°
Space group C2/c (No. 15)
One atom of each set of equivalent atoms:
Pm (0.0000, 0.0226, 0.2500) [4 per cell]
Nd (0.0640, 0.1828, 0.9455) [8 per cell]
Nd (0.1008, 0.3939, 0.1200) [8 per cell]
Nd (0.2078, 0.2233, 0.3137) [8 per cell]
Sm (0.2479, 0.0498, 0.5434) [8 per cell]
Y (0.0000, 0.4087, 0.7500) [4 per cell]

As for the formation energy: 0.11 eV/atom. The value obtained for the density of states at the Fermi level is 58.2 states/eV per cell.